DFT (PBE) results for crystalline Ba2MnSb4Pt3 at its relaxed geometry.

## Properties
E_form (uncorrected)	-693.2	kJ/mol of formula units
SG	P-4m2, No. 115
N(E_F)	5.4	states/eV per cell
calculated volume	25.004	A^3/atom
theoretical density	9.310	g/cm³
total magnetic moment	4.0	μB per cell

```
Ba2MnSb4Pt3
1.0
4.772 0.000 0.000
0.000 4.772 0.000
0.000 0.000 10.980
Ba Mn Sb Pt
2 1 4 3
Direct
0.000 0.500 0.248
0.500 0.000 0.752
0.500 0.500 0.000
0.000 0.000 0.500
0.000 0.500 0.871
0.500 0.000 0.129
0.500 0.500 0.500
0.000 0.000 0.000
0.000 0.500 0.620
0.500 0.000 0.380
```

DFT (PBE) results for crystalline AlTl2Zn at its relaxed geometry.

## Properties
formation energy from the elements	102	kJ/mol of formula units
SG	P2/m, No. 10
N(E_F)	1.7	states/eV per cell
calculated volume	24.166	A^3/atom
theoretical density	8.609	g/cm³
total magnetic moment	0.0	μB per cell

```
AlTl2Zn
1.0
3.400 0.000 0.000
0.000 4.438 0.000
-0.279 0.000 6.406
Al Tl Zn
1 2 1
Direct
0.000 0.000 0.000
0.492 0.500 0.749
0.508 0.500 0.251
0.000 0.000 0.500
```

DFT (PBE) results for crystalline Mg2CrPb at its relaxed geometry.

## Properties
formation energy from the elements	89	kJ/mol of formula units
SG	I-4m2, No. 119
N(E_F)	4.1	states/eV per cell
calculated volume	21.467	A^3/atom
theoretical density	5.952	g/cm³
total magnetic moment	7.6	μB per cell

```
Mg2CrPb
1.0
4.434 0.000 0.000
0.000 4.434 0.000
0.000 0.000 8.734
Mg Cr Pb
4 2 2
Direct
0.000 0.000 0.000
0.000 0.500 0.250
0.500 0.000 0.750
0.500 0.500 0.500
0.000 0.000 0.500
0.500 0.500 0.000
0.000 0.500 0.750
0.500 0.000 0.250
```

DFT (PBE) results for crystalline RbTl2CuN at its relaxed geometry.

## Properties
E_form (uncorrected)	360.6	kJ/mol of formula units
SG	P4/mmm, No. 123
N(E_F)	2.6	states/eV per cell
calculated volume	28.649	A^3/atom
theoretical density	6.628	g/cm³
total magnetic moment	0.2	μB per cell

```
RbTl2CuN
1.0
4.946 0.000 0.000
0.000 4.946 0.000
0.000 0.000 5.855
Rb Tl Cu N
1 2 1 1
Direct
0.000 0.000 0.000
0.000 0.500 0.500
0.500 0.000 0.500
0.500 0.500 0.000
0.000 0.000 0.500
```